Material: UIn2CoO8
Method: DFT, PBE with a Hubbard U
State: relaxed

Cell: 4.8737 4.8737 6.5752 Å, 92.94 92.94 87.71°
Closest atoms and distances in Å follow each position.
Fractional coordinates of all 12 atoms:
U: 0.0000 0.0000 0.0000  6 O 2.01-2.23
In: 0.4882 0.4882 0.7370  6 O 2.17-2.22
In: 0.5118 0.5118 0.2630  6 O 2.17-2.22
Co: 0.0000 0.0000 0.5000  4 O 1.86-1.90
O: 0.1772 0.1772 0.7322  1 Co 1.90
O: 0.1951 0.1951 0.2378  1 U 2.01, 1 In 2.22
O: 0.2748 0.7252 0.5000  1 Co 1.86
O: 0.3044 0.6956 0.0000  1 U 2.06, 2 In 2.17
O: 0.6956 0.3044 0.0000  1 U 2.06, 2 In 2.17
O: 0.7252 0.2748 0.5000  1 Co 1.86
O: 0.8049 0.8049 0.7622  1 U 2.01, 1 In 2.22
O: 0.8228 0.8228 0.2678  1 Co 1.90

Spin magnetization in μB per atom: 0.253
Space group: No. 12
DOS(E_F) in states/eV/f.u.: 0.13
VASP energy in eV/atom: -6.8954